First-principles (PBE) data for a geometry-optimized CeInBi structure, as listed in Alexandria.

Calculated values
E_form in eV per atom: -0.477

Unit cell a=4.5261 b=4.5261 c=8.8838 alpha=90.00 beta=90.00 gamma=90.00
Space group P4/nmm (No. 129, origin choice 2)
One atom of each set of equivalent atoms:
Ce 0.2500 0.2500 0.1904
In 0.2500 0.7500 0.5000
Bi 0.2500 0.2500 0.8237

First-principles (PBE) data for a geometry-optimized Ce3InBi4 structure, as listed in Alexandria.

Calculated values
E_form in eV per atom: -0.506

Unit cell a=6.5076 b=6.5076 c=6.5076 alpha=90.00 beta=90.00 gamma=90.00
Space group Pm-3m (No. 221)
One atom of each set of equivalent atoms:
Ce 0.0000 0.0000 0.5000
In 0.5000 0.5000 0.5000
Bi 0.0000 0.0000 0.0000
Bi 0.0000 0.5000 0.5000

First-principles (PBE) data for a geometry-optimized CeInBi structure, as listed in Alexandria.

Calculated values
E_form in eV per atom: -0.289

Unit cell a=4.0084 b=4.0084 c=11.0237 alpha=90.00 beta=90.00 gamma=90.00
Space group I4mm (No. 107)
One atom of each set of equivalent atoms:
Ce 0.0000 0.0000 0.0000
In 0.0000 0.0000 0.3194
Bi 0.0000 0.0000 0.6783

Question: Which of these has the highest E_form?
Answer: number 3

What did the first record say?
First-principles (PBE) data for a geometry-optimized CeInBi structure, as listed in Alexandria.

Calculated values
E_form in eV per atom: -0.477

Unit cell a=4.5261 b=4.5261 c=8.8838 alpha=90.00 beta=90.00 gamma=90.00
Space group P4/nmm (No. 129, origin choice 2)
One atom of each set of equivalent atoms:
Ce 0.2500 0.2500 0.1904
In 0.2500 0.7500 0.5000
Bi 0.2500 0.2500 0.8237